# 1
Density functional theory data (GGA-PBE) for a relaxed structure of YHoSc4.

It has space group F-43m (No. 216), with a = 8.845 Å, b = 8.845 Å, c = 8.845 Å, α = 90.00°, β = 90.00° and γ = 90.00°. Symmetry generates all atoms from Y at (0.000, 0.000, 0.000), Ho at (0.250, 0.250, 0.250) and Sc at (0.125, 0.125, 0.625).

The calculation puts the calculated formation energy at 1.28 eV/f.u. For the total energy, the calculation gives -5.848 eV per atom. The energy above the most stable polymorph in this dataset is 0.89 eV/f.u.


# 2
Density functional theory data (GGA-PBE) for a relaxed structure of SrY3Ru.

It has space group P6_3/mmc (No. 194), with a = 4.7407 Å, b = 4.7407 Å, c = 16.7089 Å, α = 90.00°, β = 90.00° and γ = 120.00°. Symmetry generates all atoms from Sr at (0.3333, 0.6667, 0.2500), Y at (0.0000, 0.0000, 0.2500), Y at (0.3333, 0.6667, 0.0613) and Ru at (0.0000, 0.0000, 0.0000).

The calculation puts the calculated formation energy at 5.69 eV/f.u. For the total energy, the calculation gives -4.932 eV per atom. The energy above the most stable polymorph in this dataset is 6.58 eV/f.u.


# 3
Density functional theory data (GGA-PBE) for a relaxed structure of Ho2Tm3Te8.

It has space group C2/m (No. 12), with a = 15.201 Å, b = 8.616 Å, c = 7.431 Å, α = 90.00°, β = 108.51° and γ = 90.00°. Symmetry generates all atoms from Ho at (0.249, 0.000, 0.170), Tm at (0.000, 0.243, 0.500), Tm at (0.000, 0.500, 0.000), Te at (0.117, 0.000, 0.401), Te at (0.120, 0.500, 0.414) and Te at (0.121, 0.252, 0.912).

The formation energy without anion corrections comes out at -16.01 eV/f.u. For the total energy, the calculation gives -4.901 eV per atom.


# 4
Density functional theory data (GGA-PBE) for a relaxed structure of HfCdSeBr2.

It has space group P4/mmm (No. 123), with a = 5.232 Å, b = 5.232 Å, c = 5.416 Å, α = 90.00°, β = 90.00° and γ = 90.00°. Symmetry generates all atoms from Hf at (0.000, 0.000, 0.000), Cd at (0.500, 0.500, 0.500), Se at (0.500, 0.500, 0.000) and Br at (0.000, 0.500, 0.500).

The formation energy without anion corrections comes out at 1.76 eV/f.u. For the total energy, the calculation gives -3.187 eV per atom. The energy above the most stable polymorph in this dataset is 5.14 eV/f.u.


Copy entry 1 word for word.
Density functional theory data (GGA-PBE) for a relaxed structure of YHoSc4.

It has space group F-43m (No. 216), with a = 8.845 Å, b = 8.845 Å, c = 8.845 Å, α = 90.00°, β = 90.00° and γ = 90.00°. Symmetry generates all atoms from Y at (0.000, 0.000, 0.000), Ho at (0.250, 0.250, 0.250) and Sc at (0.125, 0.125, 0.625).

The calculation puts the calculated formation energy at 1.28 eV/f.u. For the total energy, the calculation gives -5.848 eV per atom. The energy above the most stable polymorph in this dataset is 0.89 eV/f.u.